No. 1
CrAg2Hg after structural relaxation. Source: Alexandria via LeMat-Bulk, functional PBEsol.

Lattice parameters (Å, degrees): 3.0055 3.9387 5.8578 90.00 90.00 90.00
Last column: nearest neighbours and their distance in Å.
Fractional positions:
Ag  0.0000  0.0000  0.2377  4 Ag 2.78-3.07, 4 Cr 2.84, 4 Hg 2.92
Ag  0.0000  0.0000  0.7623  4 Ag 2.78-3.07, 4 Cr 2.84, 4 Hg 2.92
Cr  0.5000  0.5000  0.0000  8 Ag 2.84, 2 Hg 2.93, 2 Cr 3.01
Hg  0.5000  0.5000  0.5000  8 Ag 2.92, 2 Cr 2.93, 2 Hg 3.01

Computed properties:
* crystal system: orthorhombic
* energy: -16.10 eV/cell
* symmetry: Pmmm (47)


No. 2
CrAg4Hg after structural relaxation. Source: Alexandria via LeMat-Bulk, functional PBEsol.

Lattice parameters (Å, degrees): 5.3630 5.3630 5.3630 60.00 60.00 60.00
Last column: nearest neighbours and their distance in Å.
Fractional positions:
Ag  0.3752  0.8745  0.3752  6 Ag 2.68-2.69
Ag  0.8745  0.3752  0.3752  6 Ag 2.68-2.69
Ag  0.3752  0.3752  0.3752  6 Ag 2.68-2.69
Ag  0.3752  0.3752  0.8745  6 Ag 2.68-2.69
Hg  0.0000  0.0000  0.0000  12 Ag 3.14, 4 Cr 3.28
Cr  0.7500  0.7500  0.7500  12 Ag 3.14, 4 Hg 3.28

Computed properties:
* crystal system: cubic
* energy: -21.96 eV/cell
* symmetry: F-43m (216)


No. 3
CrAg3I after structural relaxation. Source: Alexandria via LeMat-Bulk, functional PBEsol.

Lattice parameters (Å, degrees): 5.2839 5.2839 5.2839 90.00 90.00 90.00
Last column: nearest neighbours and their distance in Å.
Fractional positions:
Cr  0.5000  0.5000  0.5000  12 Ag 3.74
Ag  0.5000  0.0000  0.0000  2 I 2.64
Ag  0.0000  0.5000  0.0000  2 I 2.64
Ag  0.0000  0.0000  0.5000  2 I 2.64
I  0.0000  0.0000  0.0000  6 Ag 2.64

Computed properties:
* E_form (uncorrected): 1.3913 eV per atom
* crystal system: cubic
* energy: -14.99 eV/cell
* symmetry: Pm-3m (221)


No. 4
CrAgI2N after structural relaxation. Source: Alexandria via LeMat-Bulk, functional PBEsol.

Lattice parameters (Å, degrees): 3.5821 5.4985 5.4985 90.00 90.00 90.00
Last column: nearest neighbours and their distance in Å.
Fractional positions:
I  0.0000  0.0000  0.5000  2 Cr 2.75
I  0.0000  0.5000  0.0000  2 Cr 2.75
Ag  0.5000  0.5000  0.5000  8 I 3.28, 2 Ag 3.58
N  0.5000  0.0000  0.0000  2 Cr 1.79
Cr  0.0000  0.0000  0.0000  2 N 1.79

Computed properties:
* E_form (uncorrected): 0.1767 eV per atom
* crystal system: tetragonal
* energy: -24.73 eV/cell
* symmetry: P4/mmm (123)


No. 5
CrAgI2O after structural relaxation. Source: Alexandria via LeMat-Bulk, functional PBEsol.

Lattice parameters (Å, degrees): 3.9113 5.5944 5.5944 90.00 90.00 90.00
Last column: nearest neighbours and their distance in Å.
Fractional positions:
Ag  0.0000  0.0000  0.0000  2 O 1.96
I  0.0000  0.0000  0.5000  2 Ag 2.80
I  0.0000  0.5000  0.0000  2 Ag 2.80
O  0.5000  0.0000  0.0000  2 Ag 1.96
Cr  0.5000  0.5000  0.5000  8 I 3.41

Computed properties:
* E_form (uncorrected): 0.4918 eV per atom
* crystal system: tetragonal
* energy: -19.88 eV/cell
* symmetry: P4/mmm (123)


No. 6
CrInAg2 after structural relaxation. Source: Alexandria via LeMat-Bulk, functional PBEsol.

Lattice parameters (Å, degrees): 4.5992 4.5992 4.5992 60.00 60.00 60.00
Last column: nearest neighbours and their distance in Å.
Fractional positions:
Ag  0.2500  0.2500  0.2500  4 Cr 2.82, 4 Ag 2.82
Ag  0.0000  0.0000  0.0000  4 Ag 2.82, 4 In 2.82
In  0.7500  0.7500  0.7500  4 Cr 2.82, 4 Ag 2.82
Cr  0.5000  0.5000  0.5000  4 In 2.82, 4 Ag 2.82

Computed properties:
* crystal system: cubic
* energy: -18.86 eV/cell
* symmetry: F-43m (216)


No. 7
CrInAg after structural relaxation. Source: Alexandria via LeMat-Bulk, functional PBEsol.

Lattice parameters (Å, degrees): 2.8686 2.8686 6.8710 90.00 90.00 120.00
Last column: nearest neighbours and their distance in Å.
Fractional positions:
Ag  0.0000  0.0000  0.9843  3 Cr 2.72, 6 Ag 2.87, 3 In 2.99
Cr  0.3333  0.6667  0.6698  3 Ag 2.72, 3 In 2.77, 6 Cr 2.87
In  0.6667  0.3333  0.3459  3 Cr 2.77, 6 In 2.87, 3 Ag 2.99

Computed properties:
* crystal system: trigonal
* energy: -14.78 eV/cell
* symmetry: P3m1 (156)


No. 8
CrIn2Ag after structural relaxation. Source: Alexandria via LeMat-Bulk, functional PBEsol.

Lattice parameters (Å, degrees): 3.6060 3.6060 5.9451 90.00 90.00 90.00
Last column: nearest neighbours and their distance in Å.
Fractional positions:
Cr  0.5000  0.5000  0.7495  6 In 2.85-3.10, 4 Ag 2.93
In  0.5000  0.5000  0.2703  2 Cr 2.85-3.10, 4 Ag 2.91, 4 In 3.10
In  0.0000  0.0000  0.9748  1 Ag 2.79, 4 Cr 2.88, 4 In 3.10
Ag  0.0000  0.0000  0.5054  5 In 2.79-2.91, 4 Cr 2.93

Computed properties:
* crystal system: tetragonal
* energy: -18.39 eV/cell
* symmetry: P4mm (99)


No. 9
CrIn2Ag after structural relaxation. Source: Alexandria via LeMat-Bulk, functional PBEsol.

Lattice parameters (Å, degrees): 3.1472 3.1472 9.1497 80.10 80.10 60.00
Last column: nearest neighbours and their distance in Å.
Fractional positions:
In  0.7482  0.7482  0.7553  3 Cr 2.85, 3 Ag 2.92, 6 In 3.15
In  0.2518  0.2518  0.2447  3 Cr 2.85, 3 Ag 2.92, 6 In 3.15
Cr  0.0000  0.0000  0.0000  6 In 2.85, 6 Cr 3.15
Ag  0.5000  0.5000  0.5000  6 In 2.92, 6 Ag 3.15

Computed properties:
* crystal system: trigonal
* energy: -18.25 eV/cell
* symmetry: R-3m (166)


No. 10
Cr2AgIr after structural relaxation. Source: Alexandria via LeMat-Bulk, functional PBEsol.

Lattice parameters (Å, degrees): 2.6369 2.6369 7.7247 90.00 90.00 90.00
Last column: nearest neighbours and their distance in Å.
Fractional positions:
Cr  0.0000  0.0000  0.2326  4 Ir 2.59, 4 Cr 2.64, 4 Ag 2.78
Cr  0.0000  0.0000  0.7674  4 Ir 2.59, 4 Cr 2.64, 4 Ag 2.78
Ag  0.5000  0.5000  0.5000  4 Ag 2.64, 8 Cr 2.78
Ir  0.5000  0.5000  0.0000  8 Cr 2.59, 4 Ir 2.64

Computed properties:
* crystal system: tetragonal
* energy: -32.45 eV/cell
* symmetry: P4/mmm (123)


No. 11
Cr2AgIr after structural relaxation. Source: Alexandria via LeMat-Bulk, functional PBEsol.

Lattice parameters (Å, degrees): 2.6576 3.7882 5.3551 90.00 90.00 90.00
Last column: nearest neighbours and their distance in Å.
Fractional positions:
Cr  0.0000  0.0000  0.2132  1 Cr 2.28
Cr  0.0000  0.0000  0.7868  1 Cr 2.28
Ir  0.5000  0.5000  0.0000  8 Cr 2.58, 2 Ir 2.66, 2 Ag 2.68
Ag  0.5000  0.5000  0.5000  2 Ag 2.66, 2 Ir 2.68, 8 Cr 2.78

Computed properties:
* crystal system: orthorhombic
* energy: -32.53 eV/cell
* symmetry: Pmmm (47)


No. 12
Cr2AgIr after structural relaxation. Source: Alexandria via LeMat-Bulk, functional PBEsol.

Lattice parameters (Å, degrees): 2.7297 3.5824 5.6137 90.00 90.00 90.00
Last column: nearest neighbours and their distance in Å.
Fractional positions:
Ag  0.5000  0.5000  0.7568  6 Cr 2.71-2.81, 2 Ag 2.73, 4 Ir 2.79
Cr  0.5000  0.5000  0.2561  4 Ir 2.53, 6 Cr 2.60-2.73, 2 Ag 2.80-2.81
Cr  0.0000  0.0000  0.0244  1 Ir 2.46, 6 Cr 2.60-2.73, 4 Ag 2.71
Ir  0.0000  0.0000  0.4627  5 Cr 2.46-2.53, 2 Ir 2.73

Computed properties:
* crystal system: orthorhombic
* energy: -32.32 eV/cell
* symmetry: Pmm2 (25)


No. 13
CrAgIr2 after structural relaxation. Source: Alexandria via LeMat-Bulk, functional PBEsol.

Lattice parameters (Å, degrees): 2.6900 2.6900 7.7636 90.00 90.00 90.00
Last column: nearest neighbours and their distance in Å.
Fractional positions:
Cr  0.5000  0.5000  0.7680  4 Ir 2.55, 4 Cr 2.69, 4 Ag 2.77
Ir  0.0000  0.0000  0.9860  4 Cr 2.55, 8 Ir 2.69-2.72
Ir  0.5000  0.5000  0.2371  8 Ir 2.69-2.72, 4 Ag 2.84
Ag  0.0000  0.0000  0.5089  4 Ag 2.69, 4 Cr 2.77, 4 Ir 2.84

Computed properties:
* crystal system: tetragonal
* energy: -32.12 eV/cell
* symmetry: P4mm (99)


No. 14
KCrAg2 after structural relaxation. Source: Alexandria via LeMat-Bulk, functional PBEsol.

Lattice parameters (Å, degrees): 3.0593 3.0593 10.2137 81.39 81.39 60.00
Last column: nearest neighbours and their distance in Å.
Fractional positions:
Ag  0.2385  0.2385  0.2846  3 Cr 2.80, 6 Ag 3.06
Ag  0.7615  0.7615  0.7154  3 Cr 2.80, 6 Ag 3.06
Cr  0.5000  0.5000  0.5000  6 Ag 2.80, 6 Cr 3.06
K  0.0000  0.0000  0.0000  6 K 3.06, 6 Ag 3.36

Computed properties:
* crystal system: trigonal
* energy: -15.18 eV/cell
* symmetry: R-3m (166)


No. 15
K2CrAg after structural relaxation. Source: Alexandria via LeMat-Bulk, functional PBEsol.

Lattice parameters (Å, degrees): 3.4218 3.4218 11.5834 81.51 81.51 60.00
Last column: nearest neighbours and their distance in Å.
Fractional positions:
Cr  0.0000  0.0000  0.0000  6 Cr 3.42, 6 K 3.58
K  0.7540  0.7540  0.7381  3 Ag 3.36, 6 K 3.42, 3 Cr 3.58
K  0.2460  0.2460  0.2619  3 Ag 3.36, 6 K 3.42, 3 Cr 3.58
Ag  0.5000  0.5000  0.5000  6 K 3.36, 6 Ag 3.42

Computed properties:
* crystal system: trigonal
* energy: -11.97 eV/cell
* symmetry: R-3m (166)